(1)
This record from Alexandria describes a geometry-optimized SrRuPt2 structure. The functional is PBE.

Properties
As for the density of states at the Fermi level: 5.14 states/eV/cell. For the energy above the most stable polymorph in this dataset, the calculation gives 31 meV/atom.

Cell: 9.4660 2.9210 5.6844 Å, 90.00 99.38 90.00°
Space group Cm (No. 8)
Unique sites:
1 Sr 0.0000 0.0000 0.0000 [2 per cell]
2 Ru 0.2599 0.5000 0.3470 [2 per cell]
3 Pt 0.2399 0.0000 0.7197 [2 per cell]
4 Pt 0.4959 0.0000 0.4780 [2 per cell]

***

(2)
This record from Alexandria describes a geometry-optimized SrRuPt structure. The functional is PBE.

Properties
As for the density of states at the Fermi level: 8.15 states/eV/cell. For the energy above the most stable polymorph in this dataset, the calculation gives 131 meV/atom.

Cell: 2.9759 4.0442 10.7002 Å, 90.00 90.00 90.00°
Space group Imm2 (No. 44)
Unique sites:
1 Sr 0.0000 0.0000 0.0000 [2 per cell]
2 Ru 0.0000 0.0000 0.2833 [2 per cell]
3 Pt 0.0000 0.0000 0.7126 [2 per cell]

***

(3)
This record from Alexandria describes a geometry-optimized SrRuPt2 structure. The functional is PBE.

Properties
As for the density of states at the Fermi level: 3.52 states/eV/cell. For the energy above the most stable polymorph in this dataset, the calculation gives 0 meV/atom.

Cell: 2.8833 4.6869 5.6077 Å, 90.00 93.82 90.00°
Space group Pm (No. 6)
Unique sites:
1 Sr 0.0000 0.0000 0.0000 [1 per cell]
2 Ru 0.0793 0.5000 0.6116 [1 per cell]
3 Pt 0.5201 0.5000 0.2137 [1 per cell]
4 Pt 0.5411 0.0000 0.5159 [1 per cell]

***

(4)
This record from Alexandria describes a geometry-optimized SrRuPt2 structure. The functional is PBE.

Properties
As for the density of states at the Fermi level: 5.29 states/eV/cell. For the energy above the most stable polymorph in this dataset, the calculation gives 138 meV/atom.

Cell: 4.2317 4.2317 4.1175 Å, 90.00 90.00 90.00°
Space group P4/mmm (No. 123)
Unique sites:
1 Sr 0.0000 0.0000 0.0000 [1 per cell]
2 Ru 0.5000 0.5000 0.0000 [1 per cell]
3 Pt 0.0000 0.5000 0.5000 [2 per cell]

***

(5)
This record from Alexandria describes a geometry-optimized SrRuPt2 structure. The functional is PBE.

Properties
As for the density of states at the Fermi level: 8.58 states/eV/cell. For the energy above the most stable polymorph in this dataset, the calculation gives 226 meV/atom.

Cell: 6.7482 6.7482 6.7482 Å, 90.00 90.00 90.00°
Space group Fm-3m (No. 225)
Unique sites:
1 Sr 0.0000 0.0000 0.0000 [4 per cell]
2 Ru 0.0000 0.0000 0.5000 [4 per cell]
3 Pt 0.2500 0.2500 0.2500 [8 per cell]

***

(6)
This record from Alexandria describes a geometry-optimized Sr2RuPt structure. The functional is PBE.

Properties
As for the density of states at the Fermi level: 3.27 states/eV/cell.

Cell: 3.1284 5.3865 6.0284 Å, 90.00 90.00 90.00°
Space group Pmm2 (No. 25)
Unique sites:
1 Sr 0.0000 0.0000 0.0000 [1 per cell]
2 Sr 0.5000 0.5000 0.4773 [1 per cell]
3 Ru 0.5000 0.5000 0.9757 [1 per cell]
4 Pt 0.0000 0.0000 0.5020 [1 per cell]

***

(7)
This record from Alexandria describes a geometry-optimized SrRuPt2 structure. The functional is PBE.

Properties
As for the density of states at the Fermi level: 9.12 states/eV/cell. For the energy above the most stable polymorph in this dataset, the calculation gives 210 meV/atom.

Cell: 4.2136 4.2136 8.4181 Å, 90.00 90.00 90.00°
Space group I-4m2 (No. 119)
Unique sites:
1 Sr 0.0000 0.0000 0.0000 [2 per cell]
2 Ru 0.0000 0.5000 0.2500 [2 per cell]
3 Pt 0.0000 0.0000 0.5000 [2 per cell]
4 Pt 0.0000 0.5000 0.7500 [2 per cell]

***

(8)
This record from Alexandria describes a geometry-optimized SrRuPt2 structure. The functional is PBE.

Properties
As for the density of states at the Fermi level: 5.38 states/eV/cell. For the energy above the most stable polymorph in this dataset, the calculation gives 4 meV/atom.

Cell: 3.2980 3.2980 7.1972 Å, 90.00 90.00 90.00°
Space group P4/mmm (No. 123)
Unique sites:
1 Sr 0.0000 0.0000 0.0000 [1 per cell]
2 Ru 0.0000 0.0000 0.5000 [1 per cell]
3 Pt 0.5000 0.5000 0.3089 [2 per cell]

***

(9)
This record from Alexandria describes a geometry-optimized SrRuPt2 structure. The functional is PBE.

Properties
As for the density of states at the Fermi level: 7.47 states/eV/cell. For the energy above the most stable polymorph in this dataset, the calculation gives 94 meV/atom.

Cell: 8.6951 2.8934 6.4617 Å, 90.00 97.90 90.00°
Space group C2/m (No. 12)
Unique sites:
1 Sr 0.0000 0.0000 0.0000 [2 per cell]
2 Ru 0.0000 0.5000 0.5000 [2 per cell]
3 Pt 0.2423 0.0000 0.6802 [4 per cell]

***

(10)
This record from Alexandria describes a geometry-optimized Sr2RuPt structure. The functional is PBE.

Properties
As for the density of states at the Fermi level: 4.05 states/eV/cell.

Cell: 3.6280 3.6280 8.7618 Å, 90.00 90.00 90.00°
Space group P4mm (No. 99)
Unique sites:
1 Sr 0.0000 0.0000 0.0000 [1 per cell]
2 Sr 0.5000 0.5000 0.4228 [1 per cell]
3 Ru 0.5000 0.5000 0.7467 [1 per cell]
4 Pt 0.0000 0.0000 0.6632 [1 per cell]

***

(11)
This record from Alexandria describes a geometry-optimized SrTcRuPt2 structure. The functional is PBE.

Properties
As for the density of states at the Fermi level: 4.78 states/eV/cell.

Cell: 4.9676 4.9676 4.6149 Å, 90.00 90.00 90.00°
Space group P4/mmm (No. 123)
Unique sites:
1 Sr 0.0000 0.0000 0.0000 [1 per cell]
2 Tc 0.5000 0.5000 0.5000 [1 per cell]
3 Ru 0.5000 0.5000 0.0000 [1 per cell]
4 Pt 0.0000 0.5000 0.5000 [2 per cell]

***

(12)
This record from Alexandria describes a geometry-optimized SrRu2PtW structure. The functional is PBE.

Properties
As for the density of states at the Fermi level: 6.72 states/eV/cell.

Cell: 4.6482 4.6482 4.8394 Å, 90.00 90.00 90.00°
Space group P4/mmm (No. 123)
Unique sites:
1 Sr 0.0000 0.0000 0.0000 [1 per cell]
2 Ru 0.0000 0.5000 0.0000 [2 per cell]
3 Pt 0.5000 0.5000 0.5000 [1 per cell]
4 W 0.0000 0.0000 0.5000 [1 per cell]

***

Number 1: total magnetic moment 0.000 μB per formula unit, E_form 17.0 meV per atom. Number 2: total magnetic moment 0.002 μB per formula unit, E_form 81.6 meV per atom. Number 3: total magnetic moment 0.000 μB per formula unit, E_form -14.2 meV per atom. Number 4: total magnetic moment 0.742 μB per formula unit, E_form 124.3 meV per atom. Number 5: total magnetic moment 1.960 μB per formula unit, E_form 212.2 meV per atom. Number 6: total magnetic moment 1.273 μB per formula unit, E_form 312.4 meV per atom. Number 7: total magnetic moment 1.665 μB per formula unit, E_form 196.1 meV per atom. Number 8: total magnetic moment 0.000 μB per formula unit, E_form -9.8 meV per atom. Number 9: total magnetic moment 0.677 μB per formula unit, E_form 80.1 meV per atom. Number 10: total magnetic moment 0.821 μB per formula unit, E_form 85.5 meV per atom. Number 11: total magnetic moment 0.680 μB per formula unit, E_form 417.0 meV per atom. Number 12: total magnetic moment 0.632 μB per formula unit, E_form 3055.9 meV per atom.